# 1
YTaHgN2 | GGA-PBE | relaxed

Lattice parameters (Å, degrees): 4.1458 4.1458 5.3397 90.00 90.00 90.00
Space group P4/mmm (No. 123)
Symmetry-distinct sites (fractional):
Y 0.0000 0.0000 0.0000 [1 per cell]
Ta 0.5000 0.5000 0.5000 [1 per cell]
Hg 0.5000 0.5000 0.0000 [1 per cell]
N 0.0000 0.5000 0.5000 [2 per cell]

Formation energy from raw total energies: 14 meV per atom



# 2
CaRh | GGA-PBE | relaxed

Lattice parameters (Å, degrees): 4.0258 4.0258 8.2629 90.00 90.00 120.00
Space group P-3m1 (No. 164)
Symmetry-distinct sites (fractional):
Ca 0.3333 0.6667 0.2051 [2 per cell]
Rh 0.3333 0.6667 0.5445 [2 per cell]

Energy of formation: 55 meV per atom



# 3
Ac2CeDyAs4 | GGA-PBE | relaxed

Lattice parameters (Å, degrees): 7.5343 4.3592 7.5683 90.00 109.38 90.00
Space group P2/m (No. 10)
Symmetry-distinct sites (fractional):
Ac 0.0000 0.0000 0.0000 [1 per cell]
Ac 0.5000 0.5000 0.0000 [1 per cell]
Ce 0.0000 0.5000 0.5000 [1 per cell]
Dy 0.5000 0.0000 0.5000 [1 per cell]
As 0.2443 0.0000 0.7280 [2 per cell]
As 0.2586 0.5000 0.2726 [2 per cell]

Energy of formation: -1454 meV per atom



# 4
Sc4Al | GGA-PBE | relaxed

Lattice parameters (Å, degrees): 5.1616 5.1616 5.1616 90.00 90.00 90.00
Space group Pm-3m (No. 221)
Symmetry-distinct sites (fractional):
Sc 0.0000 0.0000 0.0000 [1 per cell]
Sc 0.0000 0.5000 0.5000 [3 per cell]
Al 0.5000 0.5000 0.5000 [1 per cell]

Energy of formation: 395 meV per atom
Energy above the most stable polymorph in this dataset: 2.65 eV per formula unit